[1]
# Ba2CoBr

An optimized crystal structure of Ba2CoBr (GGA-PBE, the Alexandria database).

Calculated values
- Volume: 146.1 Å³/f.u.
- Excess energy over the best structure of this formula in the dataset: 0 meV/atom
- Magnetization: 0.4 Bohr magnetons per cell

Lattice parameters (Å, degrees): 4.4630 4.4630 8.8508 75.39 75.39 60.03
Fractional coordinates of all 4 atoms:
Ba (0.0115, 0.0115, 0.9673)
Ba (0.4885, 0.4885, 0.5327)
Br (0.2500, 0.2500, 0.2500)
Co (0.7500, 0.7500, 0.7500)

[2]
# BaCo3Br

An optimized crystal structure of BaCo3Br (GGA-PBE, the Alexandria database).

Calculated values
- Volume: 133.6 Å³/f.u.
- Excess energy over the best structure of this formula in the dataset: 1181 meV/atom
- Magnetization: 3.9 Bohr magnetons per cell

Lattice parameters (Å, degrees): 5.1124 5.1124 5.1124 90.00 90.00 90.00
Fractional coordinates of all 5 atoms:
Ba (0.0000, 0.0000, 0.0000)
Br (0.5000, 0.5000, 0.5000)
Co (0.5000, 0.0000, 0.0000)
Co (0.0000, 0.5000, 0.0000)
Co (0.0000, 0.0000, 0.5000)

Per-record energy relative to the elements, uncorrected, eV/f.u.: -1.88; 10.30